Entry from the Alexandria database: a relaxed Na3BiP2Pd9 crystal (PBE).

Density of states at the Fermi level (states/eV per atom): 0.4372
Raw total energy (eV/atom): -4.651
Total magnetization (μB per cell): 0.000
Space-group type: P-3m1, No. 164

abc: 6.1063 6.1063 9.6658
angles: 90.00 90.00 120.00
Atoms (fractional coordinates):
Pd1 0.6952 0.8476 0.2725
Pd2 0.5000 0.0000 0.0000
Pd3 0.8476 0.6952 0.7275
Pd4 0.3048 0.1524 0.7275
Pd5 0.1524 0.3048 0.2725
Pd6 0.1524 0.8476 0.2725
Pd7 0.0000 0.5000 0.0000
Pd8 0.8476 0.1524 0.7275
Pd9 0.5000 0.5000 0.0000
P1 0.6667 0.3333 0.8459
P2 0.3333 0.6667 0.1541
Na1 0.3333 0.6667 0.6930
Na2 0.0000 0.0000 0.0000
Na3 0.6667 0.3333 0.3070
Bi1 0.0000 0.0000 0.5000